Here is crystalline ZnP2W2O10 at its relaxed geometry from the Alexandria database. Energies are from GGA+U.

CIF file:
```
data_ZnP2W2O10
_chemical_formula_sum 'Zn8 P16 W16 O80'
_cell_length_a 12.536
_cell_length_b 17.058
_cell_length_c 7.362
_cell_angle_alpha 90.00
_cell_angle_beta 90.00
_cell_angle_gamma 90.00
_space_group_name_H-M_alt 'F d d 2'
_space_group_IT_number 43
_space_group_name_Hall 'F 2 -2d'
loop_
_atom_site_label
_atom_site_type_symbol
_atom_site_fract_x
_atom_site_fract_y
_atom_site_fract_z
Zn1 Zn 0.000 0.000 0.000
P1 P 0.001 0.211 0.274
W1 W 0.112 0.386 0.144
O1 O 0.008 0.080 0.799
O2 O 0.009 0.343 0.939
O3 O 0.026 0.162 0.104
O4 O 0.098 0.272 0.296
O5 O 0.100 0.237 0.752
```

Calculated density (g/cm3): 5.53
Total energy (eV/atom): -7.0486
Crystal system: orthorhombic